Computed, not measured: a geometry-optimized La3Co3O8 structure at the PBE with a Hubbard U level of DFT.

The structure in extended XYZ format:
```
28
Lattice="5.617 0.000 0.000 0.000 5.368 0.000 -0.031 0.000 11.821" Properties=species:S:1:pos:R:3 pbc="T T T"
La 1.274 0.000 3.686
La 1.301 5.365 8.144
La 1.414 5.342 0.014
La 4.172 2.659 11.808
La 4.285 2.681 3.677
La 4.311 2.684 8.135
Co 1.400 2.662 1.971
Co 1.412 2.661 9.842
Co 1.734 2.924 5.918
Co 3.852 0.240 5.904
Co 4.173 5.345 1.979
Co 4.186 5.346 9.850
O 0.008 4.005 1.728
O -0.014 4.025 10.095
O 0.980 2.573 4.168
O 1.026 2.583 7.700
O 1.821 2.660 11.805
O 1.978 4.950 5.911
O 2.759 4.000 2.286
O 2.774 1.332 2.285
O 2.812 4.016 9.537
O 2.827 1.316 9.535
O 3.608 2.266 5.911
O 3.765 5.344 0.016
O 4.560 5.266 4.121
O 4.606 5.257 7.653
O 5.578 1.321 10.093
O 5.600 1.342 1.726
```

Values from the calculation:
- Calculated volume: 356.4 Å³ per cell
- E: -7.277 eV/atom
- Total moment: 8.00 μB per formula unit